10
Lattice="4.045 0.000 0.000 0.000 7.487 -1.231 -2.023 -2.278 9.559" Properties=species:S:1:pos:R:3 comment="Sm4Se5F GGA-PBE relaxed" raw_formation_energy_ev_per_atom=-1.965 pbc="T T T"
Sm 0.000 4.564 4.389
Sm 0.000 5.676 -0.933
Sm 2.023 0.645 3.940
Sm 2.023 -0.467 9.262
Se 2.023 2.943 5.755
Se 2.023 -0.949 6.395
Se 0.000 6.159 1.934
Se 2.023 3.744 -0.615
Se 0.000 2.267 2.573
F 2.023 0.000 0.000

=====

8
Lattice="5.420 0.000 0.000 2.710 4.694 0.000 2.710 1.565 9.240" Properties=species:S:1:pos:R:3 comment="LiLa2NdTl4 GGA-PBE relaxed" ef_ev_per_atom=-0.3766 pbc="T T T"
Li 5.420 3.129 4.620
La 8.130 4.694 6.748
La 2.710 1.565 2.492
Nd 0.000 0.000 0.000
Tl 5.420 3.129 8.063
Tl 8.130 4.694 3.503
Tl 2.710 1.565 5.736
Tl 5.420 3.129 1.177

=====

4
Lattice="-2.578 3.383 0.853 -1.433 -0.545 -2.171 -3.436 -3.142 2.074" Properties=species:S:1:pos:R:3 comment="FeTc2W GGA-PBE relaxed" ef_ev_per_atom=0.1377 pbc="T T T"
Fe -4.941 -1.073 0.353
Tc -3.423 -3.120 2.027
Tc -2.448 -1.865 -0.002
W -2.506 0.770 0.402

=====

4
Lattice="6.853 0.271 -0.226 4.048 5.536 0.226 -5.046 -3.664 2.865" Properties=species:S:1:pos:R:3 comment="CrSbSe2 GGA-PBE relaxed" e_above_lowest_polymorph_ev_per_atom=0.191 raw_formation_energy_ev_per_atom=-0.125 pbc="T T T"
Cr 3.629 -0.245 1.319
Sb 2.227 2.388 1.546
Se 9.731 5.184 0.000
Se 6.621 3.527 0.000

=====

12
Lattice="6.143 0.000 0.000 -3.072 5.320 0.000 0.000 0.000 9.296" Properties=species:S:1:pos:R:3 comment="NaCrP2Se8 GGA-PBE relaxed" raw_formation_energy_ev_per_atom=-0.178 pbc="T T T"
Na 0.000 0.000 0.000
Cr 0.000 0.000 4.648
P 3.072 1.773 2.582
P 0.000 3.547 6.713
Se 0.000 3.547 8.895
Se 0.869 1.797 3.169
Se 1.081 5.175 3.169
Se 3.072 1.773 0.401
Se 1.991 0.145 6.127
Se 2.202 3.523 6.127
Se 5.022 1.651 6.127
Se -1.950 3.669 3.169

=====

4
Lattice="4.199 0.000 0.000 2.099 3.636 0.000 2.099 1.212 7.399" Properties=species:S:1:pos:R:3 comment="Sm2CuTe GGA-PBE relaxed" e_above_lowest_polymorph_ev_per_atom=0.052 raw_formation_energy_ev_per_atom=-0.704 pbc="T T T"
Te 4.199 2.424 3.699
Cu 0.000 0.000 0.000
Sm 2.099 1.212 1.678
Sm 6.298 3.636 5.721

=====

Number 1: DFT total energy -57.823 eV per formula unit. Number 2: DFT total energy -29.014 eV per formula unit. Number 3: DFT total energy -41.597 eV per formula unit. Number 4: DFT total energy -21.215 eV per formula unit. Number 5: DFT total energy -51.772 eV per formula unit. Number 6: DFT total energy -19.491 eV per formula unit.